Entry 1:
SrNi | GGA-PBE | relaxed

Cell and atoms, written as extended XYZ:
```
6
Lattice="-2.030 6.176 3.100 2.030 -6.176 3.100 2.030 6.176 -3.100" Properties=species:S:1:pos:R:3 pbc="T T T"
Sr 0.000 0.000 0.000
Sr 0.000 3.480 1.442
Sr 0.000 8.872 1.442
Ni 2.030 -1.165 2.010
Ni 2.030 1.165 2.010
Ni 0.000 0.000 2.875
```

Computed properties:
Calculated volume, Å³ per atom: 25.92
Symmetry: Imm2, No. 44
N(E_F), states/eV/atom: 0.898
E_tot, eV for the cell shown: -21.54

=====

Entry 2:
Sr6Ni | GGA-PBE | relaxed

Cell and atoms, written as extended XYZ:
```
28
Lattice="14.002 0.000 0.000 0.000 12.833 0.000 0.000 0.000 7.385" Properties=species:S:1:pos:R:3 pbc="T T T"
Sr 0.009 3.208 1.755
Sr 0.067 1.119 5.541
Sr 0.067 5.298 5.541
Sr 3.429 1.131 0.600
Sr 3.429 5.286 0.600
Sr 3.468 3.208 4.391
Sr 3.533 9.625 0.699
Sr 3.572 7.547 4.293
Sr 3.572 11.702 4.293
Sr 6.934 7.535 1.848
Sr 6.934 11.714 1.848
Sr 6.992 9.625 5.447
Sr 7.010 3.208 1.938
Sr 7.068 1.119 5.537
Sr 7.068 5.298 5.537
Sr 10.430 1.131 3.093
Sr 10.430 5.286 3.093
Sr 10.469 3.208 6.687
Sr 10.534 9.625 2.994
Sr 10.573 7.547 6.785
Sr 10.573 11.702 6.785
Sr 13.935 7.535 1.845
Sr 13.935 11.714 1.845
Sr 13.993 9.625 5.631
Ni 1.729 3.208 6.764
Ni 5.272 9.625 3.071
Ni 8.730 3.208 4.314
Ni 12.273 9.625 0.622
```

Computed properties:
Calculated volume, Å³ per atom: 47.40
Symmetry: Pnma, No. 62
N(E_F), states/eV/atom: 0.726
E_tot, eV for the cell shown: -64.52

=====

Which of these has the lowest calculated volume? SrNi

=====

What is the N(E_F) in the first record? 0.898 states/eV/atom

=====

What is the E_tot in the first record? -21.54 eV for the cell shown

=====

Among the records above, which one has the highest calculated volume? Sr6Ni